# 1
Below is crystalline Cd4PSeI2 at its relaxed geometry, with properties calculated at the PBE level.

- Spin magnetization: 0.0 μB per formula unit
- Crystal system: orthorhombic
- Formation energy from raw total energies: -2.2 eV per formula unit

Lattice parameters (Å, degrees): 8.4998 8.4998 8.4998 120.50 119.60 89.91
With the nearest neighbours (Å) after each atom.
Positions (direct):
Cd 0.2759 0.2486 0.4726  1 P 2.71, 2 Se 2.86
Cd 0.2759 0.8033 0.0274  1 P 2.71, 2 Se 2.86
Cd 0.2852 0.2379 0.0473  2 P 2.73, 1 Se 2.89
Cd 0.3094 0.7621 0.5473  2 P 2.73, 1 Se 2.89
Cd 0.6906 0.2379 0.4527  2 P 2.73, 1 Se 2.89
Cd 0.7148 0.7621 0.9527  2 P 2.73, 1 Se 2.89
Cd 0.7241 0.1967 0.9726  1 P 2.71, 2 Se 2.86
Cd 0.7241 0.7514 0.5274  1 P 2.71, 2 Se 2.86
P 0.5000 0.0000 0.0000  6 Cd 2.71-2.73
P 0.5000 0.5000 0.5000  6 Cd 2.71-2.73
Se 0.0000 0.0000 0.0000  6 Cd 2.86-2.89
Se 0.5000 0.0000 0.5000  6 Cd 2.86-2.89
I 0.0000 0.0000 0.5000  6 Cd 3.31-3.33
I 0.0000 0.5000 0.0000  6 Cd 3.31-3.33
I 0.0000 0.5000 0.5000  6 Cd 3.18
I 0.5000 0.5000 0.0000  6 Cd 3.18

# 2
Below is crystalline Re2AgHg at its relaxed geometry, with properties calculated at the PBE level.

- Spin magnetization: 0.0 μB per formula unit
- Crystal system: orthorhombic
- Final energy: -24.9 eV/cell

Lattice parameters (Å, degrees): 5.4507 5.4507 5.4507 146.07 127.48 64.01
With the nearest neighbours (Å) after each atom.
Positions (direct):
Re 0.0000 0.0000 0.0000  2 Re 2.42
Re 0.8033 0.3033 0.5000  2 Re 2.42
Ag 0.2682 0.7682 0.5000  8 Re 2.91-3.23, 4 Hg 2.94-3.23, 2 Ag 3.18
Hg 0.5359 0.5359 0.0000  8 Re 2.91-3.23, 4 Ag 2.94-3.23, 2 Hg 3.18

# 3
Below is crystalline LaTbDy3 at its relaxed geometry, with properties calculated at the PBE level.

- Spin magnetization: 0.0 μB per formula unit
- Crystal system: monoclinic
- Energy relative to the lowest polymorph listed for this composition: 0.73 eV/f.u.

Lattice parameters (Å, degrees): 3.6614 11.6625 8.5771 90.00 102.32 90.00
With the nearest neighbours (Å) after each atom.
Positions (direct):
La 0.1914 0.2500 0.3839  6 Dy 3.31-3.53, 2 Tb 3.43-3.44, 2 La 3.66
La 0.8086 0.7500 0.6161  6 Dy 3.31-3.53, 2 Tb 3.43-3.44, 2 La 3.66
Tb 0.4839 0.7500 0.9624  2 Dy 3.28, 2 La 3.43-3.44, 2 Tb 3.66
Tb 0.5161 0.2500 0.0376  2 Dy 3.28, 2 La 3.43-3.44, 2 Tb 3.66
Dy 0.1445 0.7500 0.2871  2 Tb 3.28, 2 La 3.31, 6 Dy 3.42-3.66
Dy 0.3463 0.0030 0.6926  6 Dy 3.42-3.71, 2 La 3.53, 1 Tb 3.72
Dy 0.3463 0.4970 0.6926  6 Dy 3.42-3.71, 2 La 3.53, 1 Tb 3.72
Dy 0.6537 0.5030 0.3074  6 Dy 3.42-3.71, 2 La 3.53, 1 Tb 3.72
Dy 0.6537 0.9970 0.3074  6 Dy 3.42-3.71, 2 La 3.53, 1 Tb 3.72
Dy 0.8555 0.2500 0.7130  2 Tb 3.28, 2 La 3.31, 6 Dy 3.42-3.66

# 4
Below is crystalline NbSnAs3 at its relaxed geometry, with properties calculated at the PBE level.

- Spin magnetization: 0.0 μB per formula unit
- Crystal system: cubic
- Energy relative to the lowest polymorph listed for this composition: 0.00 eV/f.u.

Lattice parameters (Å, degrees): 5.0396 5.0396 5.0396 90.00 90.00 90.00
With the nearest neighbours (Å) after each atom.
Positions (direct):
Nb 0.0000 0.0000 0.0000  6 As 2.52
Sn 0.5000 0.5000 0.5000  12 As 3.56
As 0.0000 0.0000 0.5000  2 Nb 2.52
As 0.0000 0.5000 0.0000  2 Nb 2.52
As 0.5000 0.0000 0.0000  2 Nb 2.52